1.
Density functional theory data (GGA-PBE) for a relaxed Ca5Ga2Sb crystal.

Cell lengths 9.2226, 9.2226, 9.2226 Å; angles 127.98, 127.98, 76.66 degrees
Closest atoms and distances in Å follow each position.
Sites, in units of the cell vectors:
Ca1 0.0000 0.0000 0.0000  4 Ga 3.25, 8 Ca 3.61, 2 Sb 3.62
Ca2 0.0332 0.5332 0.8455  3 Ga 3.12-3.16, 2 Sb 3.39
Ca3 0.1877 0.0332 0.5000  3 Ga 3.12-3.16, 2 Sb 3.39
Ca4 0.3123 0.8123 0.8455  3 Ga 3.12-3.16, 2 Sb 3.39
Ca5 0.4668 0.3123 0.5000  3 Ga 3.12-3.16, 2 Sb 3.39
Ca6 0.5000 0.5000 0.0000  4 Ga 3.25, 8 Ca 3.61, 2 Sb 3.62
Ca7 0.5332 0.6877 0.5000  3 Ga 3.12-3.16, 2 Sb 3.39
Ca8 0.6877 0.1877 0.1545  3 Ga 3.12-3.16, 2 Sb 3.39
Ca9 0.8123 0.9668 0.5000  3 Ga 3.12-3.16, 2 Sb 3.39
Ca10 0.9668 0.4668 0.1545  3 Ga 3.12-3.16, 2 Sb 3.39
Ga1 0.1153 0.3847 0.5000  1 Ga 2.64
Ga2 0.3847 0.8847 0.2695  1 Ga 2.64
Ga3 0.6153 0.1153 0.7305  1 Ga 2.64
Ga4 0.8847 0.6153 0.5000  1 Ga 2.64
Sb1 0.2500 0.2500 0.0000  10 Ca 3.39-3.62
Sb2 0.7500 0.7500 0.0000  10 Ca 3.39-3.62

Computed properties:
The value obtained for the raw formation energy is -583 meV per atom.



2.
Density functional theory data (GGA-PBE) for a relaxed La2DyP3 crystal.

Cell lengths 4.1991, 4.1991, 17.7595 Å; angles 90.00, 90.00, 90.00 degrees
Closest atoms and distances in Å follow each position.
Sites, in units of the cell vectors:
La1 0.0000 0.0000 0.1649  6 P 2.93-3.07
La2 0.0000 0.0000 0.8351  6 P 2.93-3.07
La3 0.5000 0.5000 0.3351  6 P 2.93-3.07
La4 0.5000 0.5000 0.6649  6 P 2.93-3.07
Dy1 0.0000 0.0000 0.5000  6 P 2.88-2.97
Dy2 0.5000 0.5000 0.0000  6 P 2.88-2.97
P1 0.0000 0.0000 0.0000  2 La 2.93, 4 Dy 2.97
P2 0.0000 0.0000 0.3378  1 Dy 2.88, 5 La 2.97-3.07
P3 0.0000 0.0000 0.6622  1 Dy 2.88, 5 La 2.97-3.07
P4 0.5000 0.5000 0.1622  1 Dy 2.88, 5 La 2.97-3.07
P5 0.5000 0.5000 0.5000  2 La 2.93, 4 Dy 2.97
P6 0.5000 0.5000 0.8378  1 Dy 2.88, 5 La 2.97-3.07

Computed properties:
Its total DFT energy (no corrections) is -6.670 eV per atom.